# 1
A relaxed YPd3Pb crystal. Source: Alexandria via LeMat-Bulk, functional GGA-PBE.

Summary:
SG: Pm-3m, No. 221
Energy relative to the elements in eV/atom: 0.138
Magnetic moment in Bohr magnetons per cell: 0.000
Volume in Å³/f.u.: 127

Lattice parameters (Å, degrees): 5.0241 5.0241 5.0241 90.00 90.00 90.00
Atoms (fractional coordinates):
Pb 0.0000 0.0000 0.0000
Y 0.5000 0.5000 0.5000
Pd 0.0000 0.5000 0.0000
Pd 0.0000 0.0000 0.5000
Pd 0.5000 0.0000 0.0000



# 2
A relaxed YPd7Pb2 crystal. Source: Alexandria via LeMat-Bulk, functional GGA-PBE.

Summary:
SG: I4/mmm, No. 139
Energy relative to the elements in eV/atom: -0.423
Magnetic moment in Bohr magnetons per cell: 0.000
Volume in Å³/f.u.: 197

Lattice parameters (Å, degrees): 4.1000 4.1000 12.0990 99.76 99.76 90.00
Atoms (fractional coordinates):
Y 0.0000 0.0000 0.0000
Pd 0.0883 0.5883 0.1766
Pd 0.4117 0.9117 0.8234
Pd 0.5883 0.0883 0.1766
Pd 0.5000 0.5000 0.0000
Pd 0.7500 0.2500 0.5000
Pd 0.9117 0.4117 0.8234
Pd 0.2500 0.7500 0.5000
Pb 0.6694 0.6694 0.3388
Pb 0.3306 0.3306 0.6612



# 3
A relaxed YPd12Pb6 crystal. Source: Alexandria via LeMat-Bulk, functional GGA-PBE.

Summary:
SG: R-3m, No. 166
Energy relative to the elements in eV/atom: -0.193
Magnetic moment in Bohr magnetons per cell: 0.000
Volume in Å³/f.u.: 398

Lattice parameters (Å, degrees): 7.6962 7.6962 7.6962 105.07 105.07 105.07
Atoms (fractional coordinates):
Y 0.0000 0.0000 0.0000
Pd 0.8859 0.1141 0.5000
Pd 0.8958 0.6591 0.6591
Pd 0.6591 0.6591 0.8958
Pd 0.3409 0.1042 0.3409
Pd 0.3409 0.3409 0.1042
Pd 0.1042 0.3409 0.3409
Pd 0.1141 0.5000 0.8859
Pd 0.5000 0.8859 0.1141
Pd 0.1141 0.8859 0.5000
Pd 0.8859 0.5000 0.1141
Pd 0.5000 0.1141 0.8859
Pd 0.6591 0.8958 0.6591
Pb 0.6915 0.2793 0.2793
Pb 0.2793 0.2793 0.6915
Pb 0.2793 0.6915 0.2793
Pb 0.7207 0.7207 0.3085
Pb 0.3085 0.7207 0.7207
Pb 0.7207 0.3085 0.7207



# 4
A relaxed YPd9Pb2 crystal. Source: Alexandria via LeMat-Bulk, functional GGA-PBE.

Summary:
SG: P4/mmm, No. 123
Energy relative to the elements in eV/atom: -0.478
Magnetic moment in Bohr magnetons per cell: 0.000
Volume in Å³/f.u.: 209

Lattice parameters (Å, degrees): 4.1240 4.1240 12.3161 90.00 90.00 90.00
Atoms (fractional coordinates):
Y 0.0000 0.0000 0.0000
Pd 0.5000 0.5000 0.0000
Pd 0.5000 0.5000 0.3354
Pd 0.5000 0.5000 0.6646
Pd 0.5000 0.0000 0.1683
Pd 0.5000 0.0000 0.5000
Pd 0.5000 0.0000 0.8317
Pd 0.0000 0.5000 0.1683
Pd 0.0000 0.5000 0.5000
Pd 0.0000 0.5000 0.8317
Pb 0.0000 0.0000 0.3335
Pb 0.0000 0.0000 0.6665



# 5
A relaxed YPd6Pb crystal. Source: Alexandria via LeMat-Bulk, functional GGA-PBE.

Summary:
SG: P4/mmm, No. 123
Energy relative to the elements in eV/atom: -0.573
Magnetic moment in Bohr magnetons per cell: 0.000
Volume in Å³/f.u.: 140

Lattice parameters (Å, degrees): 4.1328 4.1328 8.1999 90.00 90.00 90.00
Atoms (fractional coordinates):
Y 0.0000 0.0000 0.0000
Pd 0.5000 0.5000 0.0000
Pd 0.5000 0.5000 0.5000
Pd 0.5000 0.0000 0.2524
Pd 0.5000 0.0000 0.7476
Pd 0.0000 0.5000 0.2524
Pd 0.0000 0.5000 0.7476
Pb 0.0000 0.0000 0.5000



# 6
A relaxed YPd7Pb2 crystal. Source: Alexandria via LeMat-Bulk, functional GGA-PBE.

Summary:
SG: Cmmm, No. 65
Energy relative to the elements in eV/atom: -0.119
Magnetic moment in Bohr magnetons per cell: 0.000
Volume in Å³/f.u.: 229

Lattice parameters (Å, degrees): 4.3369 8.0248 8.0248 125.03 90.00 90.00
Atoms (fractional coordinates):
Y 0.0000 0.0000 0.0000
Pd 0.0000 0.8058 0.1942
Pd 0.0000 0.1942 0.8058
Pd 0.5000 0.0798 0.2833
Pd 0.5000 0.9202 0.7167
Pd 0.5000 0.2833 0.0798
Pd 0.5000 0.7167 0.9202
Pd 0.5000 0.5000 0.5000
Pb 0.5000 0.6948 0.3051
Pb 0.5000 0.3051 0.6948



# 7
A relaxed YPd3Pb crystal. Source: Alexandria via LeMat-Bulk, functional GGA-PBE.

Summary:
SG: P2_1/m, No. 11
Energy relative to the elements in eV/atom: -0.554
Magnetic moment in Bohr magnetons per cell: 0.000
Volume in Å³/f.u.: 104

Lattice parameters (Å, degrees): 6.8184 7.0608 5.5643 90.00 129.32 90.00
Atoms (fractional coordinates):
Y 0.8298 0.2500 0.0933
Y 0.1702 0.7500 0.9067
Pd 0.3023 0.4416 0.6785
Pd 0.6977 0.9416 0.3215
Pd 0.6977 0.5584 0.3215
Pd 0.3023 0.0584 0.6785
Pd 0.9615 0.2500 0.7104
Pd 0.0385 0.7500 0.2896
Pb 0.5798 0.7500 0.7019
Pb 0.4202 0.2500 0.2981



# 8
A relaxed YPdPb2 crystal. Source: Alexandria via LeMat-Bulk, functional GGA-PBE.

Summary:
SG: R-3m, No. 166
Energy relative to the elements in eV/atom: -0.045
Magnetic moment in Bohr magnetons per cell: 0.000
Volume in Å³/f.u.: 111

Lattice parameters (Å, degrees): 3.5045 3.5045 10.5921 80.48 80.48 60.00
Atoms (fractional coordinates):
Pb 0.1010 0.1010 0.6969
Pb 0.8990 0.8990 0.3031
Y 0.0000 0.0000 0.0000
Pd 0.5000 0.5000 0.5000



# 9
A relaxed Y2Pd7Pb2 crystal. Source: Alexandria via LeMat-Bulk, functional GGA-PBE.

Summary:
SG: C2/m, No. 12
Energy relative to the elements in eV/atom: -0.529
Magnetic moment in Bohr magnetons per cell: 0.000
Volume in Å³/f.u.: 218

Lattice parameters (Å, degrees): 7.0412 5.1432 7.0412 111.99 93.71 68.01
Atoms (fractional coordinates):
Y 0.7772 0.5000 0.7772
Y 0.2228 0.5000 0.2228
Pd 0.0722 0.1761 0.4102
Pd 0.4102 0.8239 0.0722
Pd 0.9278 0.8239 0.5898
Pd 0.5898 0.1761 0.9278
Pd 0.0000 0.0000 0.0000
Pd 0.6010 0.6296 0.3990
Pd 0.3990 0.3704 0.6010
Pb 0.7213 0.0101 0.2787
Pb 0.2787 0.9899 0.7213



# 10
A relaxed Y4Pd15Pb crystal. Source: Alexandria via LeMat-Bulk, functional GGA-PBE.

Summary:
SG: P4/mmm, No. 123
Energy relative to the elements in eV/atom: -0.737
Magnetic moment in Bohr magnetons per cell: 0.000
Volume in Å³/f.u.: 352

Lattice parameters (Å, degrees): 4.1323 4.1323 20.6082 90.00 90.00 90.00
Atoms (fractional coordinates):
Y 0.0000 0.0000 0.2002
Y 0.0000 0.0000 0.4000
Y 0.0000 0.0000 0.6000
Y 0.0000 0.0000 0.7998
Pd 0.5000 0.5000 0.0000
Pd 0.5000 0.5000 0.1982
Pd 0.5000 0.5000 0.3991
Pd 0.5000 0.5000 0.6009
Pd 0.5000 0.5000 0.8018
Pd 0.5000 0.0000 0.0986
Pd 0.5000 0.0000 0.2994
Pd 0.5000 0.0000 0.5000
Pd 0.5000 0.0000 0.7006
Pd 0.5000 0.0000 0.9014
Pd 0.0000 0.5000 0.0986
Pd 0.0000 0.5000 0.2994
Pd 0.0000 0.5000 0.5000
Pd 0.0000 0.5000 0.7006
Pd 0.0000 0.5000 0.9014
Pb 0.0000 0.0000 0.0000



# 11
A relaxed Y2Pd2Pb crystal. Source: Alexandria via LeMat-Bulk, functional GGA-PBE.

Summary:
SG: I4/mmm, No. 139
Energy relative to the elements in eV/atom: -0.567
Magnetic moment in Bohr magnetons per cell: 0.000
Volume in Å³/f.u.: 124

Lattice parameters (Å, degrees): 3.8789 3.8789 8.6927 77.11 77.11 90.00
Atoms (fractional coordinates):
Pb 0.0000 0.0000 0.0000
Y 0.3789 0.3789 0.2421
Y 0.6211 0.6211 0.7579
Pd 0.7500 0.2500 0.5000
Pd 0.2500 0.7500 0.5000



# 12
A relaxed YPd8Pb2 crystal. Source: Alexandria via LeMat-Bulk, functional GGA-PBE.

Summary:
SG: C2/m, No. 12
Energy relative to the elements in eV/atom: -0.319
Magnetic moment in Bohr magnetons per cell: 0.000
Volume in Å³/f.u.: 206

Lattice parameters (Å, degrees): 4.9668 7.5286 7.5286 119.38 105.90 105.90
Atoms (fractional coordinates):
Y 0.5000 0.0000 0.0000
Pd 0.8600 0.9043 0.6764
Pd 0.8600 0.6764 0.9043
Pd 0.3106 0.5748 0.5748
Pd 0.5000 0.7843 0.2157
Pd 0.5000 0.2157 0.7843
Pd 0.6894 0.4252 0.4252
Pd 0.1400 0.3236 0.0957
Pd 0.1400 0.0957 0.3236
Pb 0.0000 0.3095 0.6905
Pb 0.0000 0.6905 0.3095



# 13
A relaxed YPdPb2 crystal. Source: Alexandria via LeMat-Bulk, functional GGA-PBE.

Summary:
SG: Fm-3m, No. 225
Energy relative to the elements in eV/atom: -0.286
Magnetic moment in Bohr magnetons per cell: 0.000
Volume in Å³/f.u.: 98

Lattice parameters (Å, degrees): 5.1715 5.1715 5.1715 60.00 60.00 60.00
Atoms (fractional coordinates):
Pb 0.2500 0.2500 0.2500
Pb 0.7500 0.7500 0.7500
Y 0.0000 0.0000 0.0000
Pd 0.5000 0.5000 0.5000



# 14
A relaxed YPdPb2 crystal. Source: Alexandria via LeMat-Bulk, functional GGA-PBE.

Summary:
SG: I-42d, No. 122
Energy relative to the elements in eV/atom: -0.207
Magnetic moment in Bohr magnetons per cell: 0.000
Volume in Å³/f.u.: 108

Lattice parameters (Å, degrees): 4.4951 4.4951 11.1093 78.33 78.33 90.00
Atoms (fractional coordinates):
Pb 0.6433 0.1250 0.2500
Pb 0.1067 0.6250 0.2500
Pb 0.3750 0.3567 0.7500
Pb 0.8750 0.8933 0.7500
Y 0.5000 0.5000 0.0000
Y 0.2500 0.7500 0.5000
Pd 0.0000 0.0000 0.0000
Pd 0.7500 0.2500 0.5000



# 15
A relaxed YPdPb2 crystal. Source: Alexandria via LeMat-Bulk, functional GGA-PBE.

Summary:
SG: P4/mmm, No. 123
Energy relative to the elements in eV/atom: -0.397
Magnetic moment in Bohr magnetons per cell: 0.000
Volume in Å³/f.u.: 97

Lattice parameters (Å, degrees): 4.4819 4.6554 4.6554 90.00 90.00 90.00
Atoms (fractional coordinates):
Pb 0.0000 0.0000 0.5000
Pb 0.0000 0.5000 0.0000
Y 0.5000 0.0000 0.0000
Pd 0.5000 0.5000 0.5000



# 16
A relaxed Y2Pd2Pb crystal. Source: Alexandria via LeMat-Bulk, functional GGA-PBE.

Summary:
SG: P4/mbm, No. 127
Energy relative to the elements in eV/atom: -0.842
Magnetic moment in Bohr magnetons per cell: 0.000
Volume in Å³/f.u.: 114

Lattice parameters (Å, degrees): 7.8876 7.8876 3.6788 90.00 90.00 90.00
Atoms (fractional coordinates):
Pb 0.0000 0.0000 0.0000
Pb 0.5000 0.5000 0.0000
Y 0.1720 0.6720 0.5000
Y 0.6720 0.8280 0.5000
Y 0.8280 0.3280 0.5000
Y 0.3280 0.1720 0.5000
Pd 0.3750 0.8750 0.0000
Pd 0.8750 0.6250 0.0000
Pd 0.6250 0.1250 0.0000
Pd 0.1250 0.3750 0.0000



# 17
A relaxed Y4Pd7Pb crystal. Source: Alexandria via LeMat-Bulk, functional GGA-PBE.

Summary:
SG: C2/m, No. 12
Energy relative to the elements in eV/atom: -0.647
Magnetic moment in Bohr magnetons per cell: 0.000
Volume in Å³/f.u.: 260

Lattice parameters (Å, degrees): 5.2448 9.4810 6.0434 82.35 64.28 73.94
Atoms (fractional coordinates):
Y 0.5932 0.2166 0.5970
Y 0.4068 0.7834 0.4030
Y 0.7889 0.6346 0.7876
Y 0.2111 0.3654 0.2124
Pd 0.7864 0.9066 0.5206
Pd 0.2136 0.0934 0.4794
Pd 0.0743 0.6836 0.1677
Pd 0.9257 0.3164 0.8323
Pd 0.3667 0.5230 0.7437
Pd 0.5000 0.0000 0.0000
Pd 0.6333 0.4770 0.2563
Pb 0.0000 0.0000 0.0000



# 18
A relaxed Y3PdPb crystal. Source: Alexandria via LeMat-Bulk, functional GGA-PBE.

Summary:
SG: Pm-3m, No. 221
Energy relative to the elements in eV/atom: -0.335
Magnetic moment in Bohr magnetons per cell: 0.000
Volume in Å³/f.u.: 157

Lattice parameters (Å, degrees): 5.3966 5.3966 5.3966 90.00 90.00 90.00
Atoms (fractional coordinates):
Pb 0.5000 0.5000 0.5000
Y 0.0000 0.5000 0.0000
Y 0.0000 0.0000 0.5000
Y 0.5000 0.0000 0.0000
Pd 0.0000 0.0000 0.0000



# 19
A relaxed Y2Pd2Pb crystal. Source: Alexandria via LeMat-Bulk, functional GGA-PBE.

Summary:
SG: I4/mmm, No. 139
Energy relative to the elements in eV/atom: -0.595
Magnetic moment in Bohr magnetons per cell: 0.000
Volume in Å³/f.u.: 125

Lattice parameters (Å, degrees): 5.4532 5.4532 5.6928 61.38 61.38 90.00
Atoms (fractional coordinates):
Pb 0.0000 0.0000 0.0000
Y 0.7500 0.2500 0.5000
Y 0.2500 0.7500 0.5000
Pd 0.3503 0.3503 0.2994
Pd 0.6497 0.6497 0.7006



# 20
A relaxed Y2Pd2Pb crystal. Source: Alexandria via LeMat-Bulk, functional GGA-PBE.

Summary:
SG: P4/mbm, No. 127
Energy relative to the elements in eV/atom: -0.595
Magnetic moment in Bohr magnetons per cell: 0.000
Volume in Å³/f.u.: 120

Lattice parameters (Å, degrees): 8.3211 8.3211 3.4774 90.00 90.00 90.00
Atoms (fractional coordinates):
Pb 0.0000 0.0000 0.0000
Pb 0.5000 0.5000 0.0000
Y 0.3430 0.8430 0.0000
Y 0.8430 0.6570 0.0000
Y 0.6570 0.1570 0.0000
Y 0.1570 0.3430 0.0000
Pd 0.1286 0.6286 0.5000
Pd 0.6286 0.8714 0.5000
Pd 0.8714 0.3714 0.5000
Pd 0.3714 0.1286 0.5000